Here is a relaxed structure of BaDyCuO3 from Alexandria. Energies are from PBE.

```
BaDyCuO3
1.0
1.8705 -6.6770 0.0000
1.8705 6.6770 0.0000
0.0000 0.0000 8.4617
Ba Dy Cu O
2 2 2 6
direct
0.1924 0.8076 0.7500 Ba
0.8076 0.1924 0.2500 Ba
0.5000 0.5000 0.0000 Dy
0.5000 0.5000 0.5000 Dy
0.1060 0.8940 0.2500 Cu
0.8940 0.1060 0.7500 Cu
0.1086 0.8914 0.0348 O
0.1086 0.8914 0.4652 O
0.4379 0.5621 0.2500 O
0.5621 0.4379 0.7500 O
0.8914 0.1086 0.5348 O
0.8914 0.1086 0.9652 O
```

- formation energy without anion corrections (eV per atom) = -2.4024

***

Here is a relaxed structure of CaPrEuGa from Alexandria. Energies are from PBE.

```
CaPrEuGa
1.0
0.0000 3.9375 3.9375
3.9375 0.0000 3.9375
3.9375 3.9375 0.0000
Ca Pr Eu Ga
1 1 1 1
direct
0.0000 0.0000 0.0000 Ca
0.2500 0.2500 0.2500 Pr
0.7500 0.7500 0.7500 Eu
0.5000 0.5000 0.5000 Ga
```

- formation enthalpy at 0 K (eV/atom) = -0.112

***

Here is a relaxed structure of MgFePt3 from Alexandria. Energies are from PBE.

```
MgFePt3
1.0
4.5519 0.0000 0.0000
0.0000 4.5519 0.0000
0.0000 0.0000 4.5519
Mg Fe Pt
1 1 3
direct
0.0000 0.0000 0.0000 Mg
0.5000 0.5000 0.5000 Fe
0.0000 0.0000 0.5000 Pt
0.0000 0.5000 0.0000 Pt
0.5000 0.0000 0.0000 Pt
```

- polymorph energy (0 for the lowest one) (meV per atom) = 867
- formation enthalpy at 0 K (eV/atom) = 1.307

***

Here is a relaxed structure of AlNi2Ag from Alexandria. Energies are from PBE.

```
AlNi2Ag
1.0
-1.8777 1.8777 3.7450
1.8777 -1.8777 3.7450
1.8777 1.8777 -3.7450
Al Ni Ag
1 2 1
direct
0.0000 0.0000 0.0000 Al
0.2500 0.7500 0.5000 Ni
0.5000 0.5000 0.0000 Ni
0.7500 0.2500 0.5000 Ag
```

- formation enthalpy at 0 K (eV/atom) = -0.146